A plane-wave DFT calculation with PBE-GGA was carried out for a relaxed structure of Cu2Pt2O7.

As for the total energy: -5.199 eV/atom. The value obtained for the density of states at the Fermi level is 9.30 states/eV per cell. The formation energy without anion corrections comes out at -0.2010 eV per atom. As for the energy above the lowest structure with this stoichiometry: 36 meV per atom.

It has space group C2/m (No. 12), with a = 12.1245 Å, b = 5.8767 Å, c = 3.7968 Å, α = 90.00°, β = 107.26° and γ = 90.00°. The distinct sites, in fractional coordinates, are Cu at (0.2468, 0.0000, 0.4901), Pt at (0.0000, 0.2806, 0.0000), O at (0.0000, 0.5000, 0.5000), O at (0.0353, 0.0000, 0.6848) and O at (0.1707, 0.2601, 0.2197).

---

A plane-wave DFT calculation with PBE-GGA was carried out for a relaxed structure of Cu4PtO5.

As for the total energy: -5.278 eV/atom. The value obtained for the density of states at the Fermi level is 11.31 states/eV per cell. The formation energy without anion corrections comes out at -0.5562 eV per atom. As for the energy above the lowest structure with this stoichiometry: 0 meV per atom.

It has space group P2/m (No. 10), with a = 6.0269 Å, b = 2.9308 Å, c = 13.2297 Å, α = 90.00°, β = 97.00° and γ = 90.00°. The distinct sites, in fractional coordinates, are Cu at (0.0000, 0.0000, 0.0000), Cu at (0.0972, 0.5000, 0.4041), Cu at (0.2000, 0.0000, 0.7979), Cu at (0.3993, 0.0000, 0.5990), Cu at (0.5000, 0.5000, 0.0000), Pt at (0.2998, 0.5000, 0.2019), O at (0.0047, 0.5000, 0.7448), O at (0.2001, 0.5000, 0.0482), O at (0.2018, 0.5000, 0.5508), O at (0.3948, 0.5000, 0.8513) and O at (0.3976, 0.5000, 0.3556).

---

A plane-wave DFT calculation with PBE-GGA was carried out for a relaxed structure of Cu5Pt2O12.

As for the total energy: -5.172 eV/atom. The value obtained for the density of states at the Fermi level is 22.92 states/eV per cell. The formation energy without anion corrections comes out at -0.3264 eV per atom.

It has space group C2/m (No. 12), with a = 11.1526 Å, b = 5.7782 Å, c = 7.0444 Å, α = 90.00°, β = 100.20° and γ = 90.00°. The distinct sites, in fractional coordinates, are Cu at (0.0000, 0.0000, 0.0000), Cu at (0.2340, 0.5000, 0.9958), Cu at (0.2496, 0.0000, 0.4994), Pt at (0.0000, 0.2513, 0.5000), O at (0.0323, 0.5000, 0.3222), O at (0.0368, 0.0000, 0.3215), O at (0.1441, 0.2201, 0.0117) and O at (0.1774, 0.2502, 0.6113).

---

A plane-wave DFT calculation with PBE-GGA was carried out for a relaxed structure of Cu2Pt2O7.

As for the total energy: -5.235 eV/atom. The value obtained for the density of states at the Fermi level is 12.41 states/eV per cell. The formation energy without anion corrections comes out at -0.2365 eV per atom. As for the energy above the lowest structure with this stoichiometry: 0 meV per atom.

It has space group C2/m (No. 12), with a = 5.8031 Å, b = 9.1988 Å, c = 5.3390 Å, α = 90.00°, β = 97.63° and γ = 90.00°. The distinct sites, in fractional coordinates, are Cu at (0.2354, 0.0000, 0.1146), Pt at (0.0000, 0.1790, 0.5000), O at (0.0000, 0.5000, 0.0000), O at (0.0848, 0.0000, 0.7363) and O at (0.2276, 0.3137, 0.7041).

---

A plane-wave DFT calculation with PBE-GGA was carried out for a relaxed structure of Cu4PtO6.

As for the total energy: -5.106 eV/atom. The value obtained for the density of states at the Fermi level is 19.32 states/eV per cell. The formation energy without anion corrections comes out at -0.3630 eV per atom.

It has space group Cm (No. 8), with a = 11.6542 Å, b = 3.8863 Å, c = 6.7442 Å, α = 90.00°, β = 124.23° and γ = 90.00°. The distinct sites, in fractional coordinates, are Cu at (0.0000, 0.0000, 0.0000), Cu at (0.0061, 0.0000, 0.6431), Cu at (0.2914, 0.0000, 0.8895), Cu at (0.3149, 0.0000, 0.2960), Pt at (0.1595, 0.5000, 0.4636), O at (0.0111, 0.5000, 0.1024), O at (0.0146, 0.5000, 0.5474), O at (0.1546, 0.0000, 0.9805), O at (0.2058, 0.0000, 0.5245), O at (0.3009, 0.5000, 0.8467) and O at (0.3088, 0.5000, 0.3797).

---

A plane-wave DFT calculation with PBE-GGA was carried out for a relaxed structure of CuPtO3.

As for the total energy: -5.442 eV/atom. The value obtained for the density of states at the Fermi level is 14.17 states/eV per cell. The formation energy without anion corrections comes out at -0.4394 eV per atom.

It has space group Cmc2_1 (No. 36), with a = 3.1759 Å, b = 13.9418 Å, c = 5.0679 Å, α = 90.00°, β = 90.00° and γ = 90.00°. The distinct sites, in fractional coordinates, are Cu at (0.0000, 0.0567, 0.0000), Pt at (0.0000, 0.3258, 0.9866), O at (0.0000, 0.0977, 0.6368), O at (0.0000, 0.2500, 0.3397) and O at (0.0000, 0.4236, 0.7012).